Entry 1:
VASP calculation (PBE) on a relaxed YHfTaMn2 crystal.

Geometry as extended XYZ:
```
5
Lattice="4.7819 0.0000 0.0000 0.0000 5.0293 0.0000 0.0000 0.0000 4.7819" Properties=species:S:1:pos:R:3 pbc="T T T"
Mn 2.3910 0.0000 0.0000
Mn 0.0000 0.0000 2.3910
Y 2.3910 2.5147 2.3910
Ta 0.0000 2.5147 0.0000
Hf 0.0000 0.0000 0.0000
```

Crystal system: tetragonal

***

Entry 2:
VASP calculation (PBE) on a relaxed LuSc2 crystal.

Geometry as extended XYZ:
```
3
Lattice="3.3371 0.0000 0.0000 0.0000 3.3371 0.0000 -1.6686 -1.6686 7.0209" Properties=species:S:1:pos:R:3 pbc="T T T"
Lu 0.0000 0.0000 0.0000
Sc 1.6686 1.6686 2.3958
Sc 0.0000 0.0000 4.6252
```

Polymorph energy (0 for the lowest one), eV per atom: 0.000
Crystal system: tetragonal

***

Entry 3:
VASP calculation (PBE) on a relaxed CeSm2Ge3Rh4 crystal.

Geometry as extended XYZ:
```
10
Lattice="4.2440 0.0000 0.0000 0.0000 4.2440 0.0000 0.0000 0.0000 10.9541" Properties=species:S:1:pos:R:3 pbc="T T T"
Ce 2.1220 2.1220 5.4770
Ge 2.1220 0.0000 9.6000
Ge 0.0000 0.0000 5.4770
Rh 2.1220 2.1220 0.0000
Ge 0.0000 2.1220 1.3541
Rh 2.1220 0.0000 7.1393
Rh 0.0000 2.1220 3.8147
Rh 0.0000 0.0000 0.0000
Sm 2.1220 0.0000 2.4304
Sm 0.0000 2.1220 8.5237
```

Crystal system: tetragonal

***

Entry 4:
VASP calculation (PBE) on a relaxed Nd3DyTm6Th2 crystal.

Geometry as extended XYZ:
```
12
Lattice="-5.3501 -2.0469 -2.2927 3.3327 -3.6042 3.7380 -4.8808 6.2004 8.6286" Properties=species:S:1:pos:R:3 pbc="T T T"
Tm -3.7316 0.1826 8.6152
Nd -0.5496 -0.2454 7.0508
Tm -3.1666 0.3667 1.4586
Dy 0.0000 0.0000 0.0000
Tm -2.6989 -2.6836 3.1928
Nd -3.4491 0.2747 5.0369
Tm -0.2360 -0.1589 3.4941
Tm -6.6623 0.7083 6.5798
Th -2.4553 -2.5661 -0.2821
Th 0.4379 -3.0850 1.7274
Nd -6.3487 0.7947 3.0231
Tm -4.1994 3.2329 6.8811
```

Crystal system: monoclinic

***

Entry 5:
VASP calculation (PBE) on a relaxed LiPr2ScAu6 crystal.

Geometry as extended XYZ:
```
10
Lattice="6.7500 -0.3903 1.1281 -0.2243 7.1211 -1.2691 3.9726 2.3955 5.0454" Properties=species:S:1:pos:R:3 pbc="T T T"
Au 5.6357 7.8570 4.3411
Au 7.0370 6.4627 2.3643
Au 4.8625 1.2692 0.5633
Au 4.8988 4.7085 4.0614
Li 0.0000 0.0000 0.0000
Au 5.5994 4.4178 0.8430
Au 3.4612 2.6636 2.5400
Pr 7.0080 2.4777 3.2125
Pr 3.4902 6.6485 1.6919
Sc 3.2628 3.3654 -0.0705
```

Crystal system: triclinic

***

Entry 6:
VASP calculation (PBE) on a relaxed KY2Sc crystal.

Geometry as extended XYZ:
```
4
Lattice="0.0000 4.0666 4.0666 4.0666 0.0000 4.0666 4.0666 4.0666 0.0000" Properties=species:S:1:pos:R:3 pbc="T T T"
Y 6.1000 6.1000 6.1000
K 0.0000 0.0000 0.0000
Sc 4.0666 4.0666 4.0666
Y 2.0333 2.0333 2.0333
```

Polymorph energy (0 for the lowest one), eV per atom: 0.347
Crystal system: cubic

***

Number 1: final energy -0.302 hartree per atom, ΔH_f (0 K) 532 kJ/mol of formula units, D(E_F) 6.64 states/eV per cell. Number 2: final energy -0.209 hartree per atom, ΔH_f (0 K) 15 kJ/mol of formula units, D(E_F) 5.02 states/eV per cell. Number 3: final energy -0.247 hartree per atom, ΔH_f (0 K) -831 kJ/mol of formula units, D(E_F) 5.42 states/eV per cell. Number 4: final energy -0.185 hartree per atom, ΔH_f (0 K) 23 kJ/mol of formula units, D(E_F) 15.20 states/eV per cell. Number 5: final energy -0.157 hartree per atom, ΔH_f (0 K) -512 kJ/mol of formula units, D(E_F) 6.52 states/eV per cell. Number 6: final energy -0.166 hartree per atom, ΔH_f (0 K) 224 kJ/mol of formula units, D(E_F) 9.48 states/eV per cell.